Computed, not measured: a relaxed structure of Sc2Co5SnGe2 at the PBE level of DFT.

Cell: 3.4599 9.1322 9.1322 Å, 90.00 90.00 90.00°
Sites, in units of the cell vectors:
Co: 0.5000 0.5672 0.7135
Co: 0.5000 0.2135 0.0672
Co: 0.5000 0.7865 0.9328
Co: 0.5000 0.9328 0.2135
Co: 0.5000 0.7135 0.4328
Co: 0.5000 0.4328 0.2865
Co: 0.5000 0.2865 0.5672
Co: 0.5000 0.5000 0.0000
Co: 0.5000 0.0000 0.5000
Co: 0.5000 0.0672 0.7865
Sc: 0.0000 0.6755 0.1755
Sc: 0.0000 0.8245 0.6755
Sc: 0.0000 0.3245 0.8245
Sc: 0.0000 0.1755 0.3245
Sn: 0.0000 0.5000 0.5000
Sn: 0.0000 0.0000 0.0000
Ge: 0.0000 0.6212 0.8788
Ge: 0.0000 0.1212 0.6212
Ge: 0.0000 0.8788 0.3788
Ge: 0.0000 0.3788 0.1212

Properties
* space group: No. 127
* M_tot: 0.0 μB per formula unit
* formation energy: -362 meV/atom

---

Computed, not measured: a relaxed structure of Re3PW at the PBE level of DFT.

Cell: 4.7318 4.7318 4.7318 Å, 90.00 90.00 90.00°
Sites, in units of the cell vectors:
W: 0.0000 0.0000 0.0000
Re: 0.0000 0.5000 0.0000
Re: 0.5000 0.0000 0.0000
Re: 0.0000 0.0000 0.5000
P: 0.5000 0.5000 0.5000

Properties
* space group: No. 221
* offset from the most stable computed form: 1663 meV/atom
* M_tot: 0.0 μB per formula unit
* formation energy: 2588 meV/atom

---

Computed, not measured: a relaxed structure of ErTlCdI6 at the PBE level of DFT.

Cell: 7.7912 7.7912 15.3510 Å, 90.00 90.00 120.00°
Sites, in units of the cell vectors:
I: 0.3678 0.0010 0.6363
I: 0.3669 0.9990 0.1363
I: 0.9990 0.3669 0.6363
I: 0.6322 0.9990 0.3637
I: 0.6331 0.6322 0.6363
I: 0.0010 0.3678 0.1363
I: 0.6322 0.6331 0.1363
I: 0.9990 0.6322 0.8637
I: 0.6331 0.0010 0.8637
I: 0.3678 0.3669 0.8637
I: 0.0010 0.6331 0.3637
I: 0.3669 0.3678 0.3637
Cd: 0.3333 0.6667 0.7500
Cd: 0.6667 0.3333 0.2500
Er: 0.3333 0.6667 0.2500
Er: 0.6667 0.3333 0.7500
Tl: 0.0000 0.0000 0.5000
Tl: 0.0000 0.0000 0.0000

Properties
* space group: No. 163
* M_tot: 0.0 μB per formula unit
* uncorrected formation energy: -0.937 eV/atom

---

Computed, not measured: a relaxed structure of CaMnIr at the PBE level of DFT.

Cell: 5.3142 5.3143 5.3145 Å, 63.19 60.31 93.07°
Site moments in Bohr magnetons follow the coordinates.
Sites, in units of the cell vectors:
Mn: 0.6266 0.2470 0.7312  3.13
Mn: 0.1267 0.2472 0.2311  3.13
Ir: 0.6266 0.2470 0.2312  0.05
Ir: 0.6265 0.7471 0.7311  0.05
Ca: 0.9954 0.8659 0.9812  -0.03
Ca: 0.2575 0.6281 0.4812  -0.03

Properties
* space group: No. 74
* offset from the most stable computed form: 0 meV/atom
* M_tot: 3.3 μB per formula unit
* formation energy: -205 meV/atom

---

Computed, not measured: a relaxed structure of PaSiTcOs at the PBE level of DFT.

Cell: 3.7022 4.5907 4.5819 Å, 90.00 90.00 90.00°
Sites, in units of the cell vectors:
Os: 0.0000 0.0000 0.5000
Pa: 0.5000 0.5000 0.5000
Si: 0.0000 0.0000 0.0000
Tc: 0.0000 0.5000 0.0000

Properties
* space group: No. 47
* offset from the most stable computed form: 135 meV/atom
* M_tot: 0.0 μB per formula unit
* uncorrected formation energy: -0.053 eV/atom

---

Computed, not measured: a relaxed structure of Ru at the PBE level of DFT.

Cell: 2.7191 2.7191 8.7128 Å, 90.00 90.00 120.00°
Sites, in units of the cell vectors:
Ru: 0.6667 0.3333 0.7500
Ru: 0.3333 0.6667 0.2500
Ru: 0.0000 0.0000 0.0000
Ru: 0.0000 0.0000 0.5000

Properties
* space group: No. 194
* offset from the most stable computed form: 89 meV/atom
* M_tot: 0.0 μB per formula unit
* formation energy: 89 meV/atom

---

Computed, not measured: a relaxed structure of Be2SbP at the PBE level of DFT.

Cell: 3.2628 3.2628 7.3539 Å, 90.00 90.00 106.94°
Sites, in units of the cell vectors:
Sb: 0.5000 0.5000 0.8542
Be: 0.5000 0.5000 0.2256
Be: 0.0000 0.0000 0.0687
P: 0.0000 0.0000 0.3515

Properties
* space group: No. 35
* offset from the most stable computed form: 186 meV/atom
* M_tot: 0.0 μB per formula unit
* uncorrected formation energy: 0.231 eV/atom

---

Computed, not measured: a relaxed structure of PmTiAu2 at the PBE level of DFT.

Cell: 4.9707 4.9707 4.9707 Å, 60.00 60.00 60.00°
Site moments in Bohr magnetons follow the coordinates.
Sites, in units of the cell vectors:
Pm: 0.5000 0.5000 0.5000  0.08
Ti: 0.0000 0.0000 0.0000  1.27
Au: 0.2500 0.2500 0.2500  0.03
Au: 0.7500 0.7500 0.7500  0.03

Properties
* space group: No. 225
* offset from the most stable computed form: 75 meV/atom
* M_tot: 1.8 μB per formula unit
* formation energy: -437 meV/atom

---

Computed, not measured: a relaxed structure of TmCdRh2 at the PBE level of DFT.

Cell: 3.5080 4.4914 4.4914 Å, 90.00 90.00 90.00°
Sites, in units of the cell vectors:
Rh: 0.0000 0.5000 0.0000
Rh: 0.0000 0.0000 0.5000
Cd: 0.5000 0.5000 0.5000
Tm: 0.5000 0.0000 0.0000

Properties
* space group: No. 123
* offset from the most stable computed form: 0 meV/atom
* M_tot: 0.0 μB per formula unit
* formation energy: -649 meV/atom

---

Computed, not measured: a relaxed structure of CsIn2Se2 at the PBE level of DFT.

Cell: 5.4937 5.4937 6.5721 Å, 65.29 65.29 90.00°
Sites, in units of the cell vectors:
In: 0.3512 0.3512 0.2976
In: 0.6488 0.6488 0.7024
Cs: 0.0000 0.0000 0.0000
Se: 0.2500 0.7500 0.5000
Se: 0.7500 0.2500 0.5000

Properties
* space group: No. 139
* offset from the most stable computed form: 0 meV/atom
* M_tot: 0.0 μB per formula unit
* uncorrected formation energy: -0.626 eV/atom

---

Computed, not measured: a relaxed structure of HoMg5Pt6 at the PBE level of DFT.

Cell: 4.3224 7.1666 6.8340 Å, 90.00 71.83 90.00°
Sites, in units of the cell vectors:
Mg: 0.3271 0.0000 0.3459
Mg: 0.0000 0.5000 0.0000
Mg: 0.3340 0.5000 0.3306
Mg: 0.6660 0.5000 0.6694
Mg: 0.6729 0.0000 0.6541
Pt: 0.5000 0.2600 0.0000
Pt: 0.5000 0.7400 0.0000
Pt: 0.1704 0.7422 0.6603
Pt: 0.1704 0.2578 0.6603
Pt: 0.8296 0.2578 0.3397
Pt: 0.8296 0.7422 0.3397
Ho: 0.0000 0.0000 0.0000

Properties
* space group: No. 10
* M_tot: 0.0 μB per formula unit
* formation energy: -920 meV/atom

---

Computed, not measured: a relaxed structure of Pr2Nd3Sm6Y at the PBE level of DFT.

Cell: 6.3279 6.3279 12.1223 Å, 95.00 95.00 119.98°
Sites, in units of the cell vectors:
Sm: 0.5840 0.9169 0.7502
Sm: 0.0831 0.4160 0.2498
Sm: 0.9169 0.5840 0.7502
Sm: 0.4160 0.0831 0.2498
Sm: 0.2497 0.2497 0.7500
Sm: 0.7503 0.7503 0.2500
Pr: 0.3334 0.6666 0.0000
Pr: 0.6666 0.3334 0.0000
Y: 0.0000 0.0000 0.0000
Nd: 0.8334 0.1666 0.5000
Nd: 0.1666 0.8334 0.5000
Nd: 0.5000 0.5000 0.5000

Properties
* space group: No. 12
* M_tot: 0.0 μB per formula unit
* formation energy: 13 meV/atom